Entry w
A relaxed structure of GeP2RuS, computed with PBE-GGA.

Structure (CIF):
```
data_GeP2RuS
_chemical_formula_sum 'Ge1 P2 Ru1 S1'
_symmetry_space_group_name_H-M 'P 1'
_symmetry_Int_Tables_number 1
_cell_length_a 4.442
_cell_length_b 4.442
_cell_length_c 5.291
_cell_angle_alpha 90.00
_cell_angle_beta 90.00
_cell_angle_gamma 90.00
loop_
_symmetry_equiv_pos_as_xyz
'x,y,z'
loop_
_atom_site_label
_atom_site_type_symbol
_atom_site_fract_x
_atom_site_fract_y
_atom_site_fract_z
Ge1 Ge 0.000 0.000 0.000
P1 P 0.000 0.500 0.500
P2 P 0.500 0.000 0.500
Ru1 Ru 0.500 0.500 0.500
S1 S 0.500 0.500 0.000
```

Output
SG   No. 123
Total magnetic moment   0.00 μB per cell


Entry x
A relaxed structure of GeP2RuS, computed with PBE-GGA.

Structure (CIF):
```
data_GeP2RuS
_chemical_formula_sum 'Ge1 P2 Ru1 S1'
_symmetry_space_group_name_H-M 'P 1'
_symmetry_Int_Tables_number 1
_cell_length_a 4.532
_cell_length_b 4.532
_cell_length_c 4.562
_cell_angle_alpha 90.00
_cell_angle_beta 90.00
_cell_angle_gamma 90.00
loop_
_symmetry_equiv_pos_as_xyz
'x,y,z'
loop_
_atom_site_label
_atom_site_type_symbol
_atom_site_fract_x
_atom_site_fract_y
_atom_site_fract_z
Ge1 Ge 0.000 0.000 0.000
P1 P 0.000 0.500 0.000
P2 P 0.500 0.000 0.000
Ru1 Ru 0.500 0.500 0.500
S1 S 0.000 0.000 0.500
```

Output
SG   No. 123
Total magnetic moment   0.00 μB per cell


Most favorable structure: entry w. The second most favorable one is 755 meV per atom above it.


Entry w
A relaxed structure of GePRuS2, computed with PBE-GGA.

Structure (CIF):
```
data_GePRuS2
_chemical_formula_sum 'Ge1 P1 Ru1 S2'
_symmetry_space_group_name_H-M 'P 1'
_symmetry_Int_Tables_number 1
_cell_length_a 4.812
_cell_length_b 4.812
_cell_length_c 4.357
_cell_angle_alpha 90.00
_cell_angle_beta 90.00
_cell_angle_gamma 90.00
loop_
_symmetry_equiv_pos_as_xyz
'x,y,z'
loop_
_atom_site_label
_atom_site_type_symbol
_atom_site_fract_x
_atom_site_fract_y
_atom_site_fract_z
Ge1 Ge 0.000 0.000 0.000
P1 P 0.500 0.500 0.000
Ru1 Ru 0.500 0.500 0.500
S1 S 0.000 0.500 0.500
S2 S 0.500 0.000 0.500
```

Output
SG   No. 123
Total magnetic moment   0.00 μB per cell


Entry x
A relaxed structure of GePRuS2, computed with PBE-GGA.

Structure (CIF):
```
data_GePRuS2
_chemical_formula_sum 'Ge1 P1 Ru1 S2'
_symmetry_space_group_name_H-M 'P 1'
_symmetry_Int_Tables_number 1
_cell_length_a 4.609
_cell_length_b 4.609
_cell_length_c 4.664
_cell_angle_alpha 90.00
_cell_angle_beta 90.00
_cell_angle_gamma 90.00
loop_
_symmetry_equiv_pos_as_xyz
'x,y,z'
loop_
_atom_site_label
_atom_site_type_symbol
_atom_site_fract_x
_atom_site_fract_y
_atom_site_fract_z
Ge1 Ge 0.000 0.000 0.000
P1 P 0.000 0.000 0.500
Ru1 Ru 0.500 0.500 0.500
S1 S 0.000 0.500 0.000
S2 S 0.500 0.000 0.000
```

Output
SG   No. 123
Total magnetic moment   2.31 μB per cell


Most favorable structure: entry w. The second most favorable one is 660 meV per atom above it.


Entry w
A relaxed structure of GeP2S2, computed with PBE-GGA.

Structure (CIF):
```
data_GeP2S2
_chemical_formula_sum 'Ge1 P2 S2'
_symmetry_space_group_name_H-M 'P 1'
_symmetry_Int_Tables_number 1
_cell_length_a 4.619
_cell_length_b 4.619
_cell_length_c 4.734
_cell_angle_alpha 90.00
_cell_angle_beta 90.00
_cell_angle_gamma 90.00
loop_
_symmetry_equiv_pos_as_xyz
'x,y,z'
loop_
_atom_site_label
_atom_site_type_symbol
_atom_site_fract_x
_atom_site_fract_y
_atom_site_fract_z
Ge1 Ge 0.000 0.000 0.000
P1 P 0.000 0.000 0.500
P2 P 0.500 0.500 0.500
S1 S 0.000 0.500 0.000
S2 S 0.500 0.000 0.000
```

Output
SG   No. 123
Total magnetic moment   0.00 μB per cell


Entry x
A relaxed structure of GeP2S2, computed with PBE-GGA.

Structure (CIF):
```
data_GeP2S2
_chemical_formula_sum 'Ge1 P2 S2'
_symmetry_space_group_name_H-M 'P 1'
_symmetry_Int_Tables_number 1
_cell_length_a 4.789
_cell_length_b 4.789
_cell_length_c 4.501
_cell_angle_alpha 90.00
_cell_angle_beta 90.00
_cell_angle_gamma 90.00
loop_
_symmetry_equiv_pos_as_xyz
'x,y,z'
loop_
_atom_site_label
_atom_site_type_symbol
_atom_site_fract_x
_atom_site_fract_y
_atom_site_fract_z
Ge1 Ge 0.000 0.000 0.000
P1 P 0.000 0.500 0.000
P2 P 0.500 0.000 0.000
S1 S 0.000 0.000 0.500
S2 S 0.500 0.500 0.500
```

Output
SG   No. 123
Total magnetic moment   0.00 μB per cell


Entry y
A relaxed structure of GeP2S2, computed with PBE-GGA.

Structure (CIF):
```
data_GeP2S2
_chemical_formula_sum 'Ge1 P2 S2'
_symmetry_space_group_name_H-M 'P 1'
_symmetry_Int_Tables_number 1
_cell_length_a 4.559
_cell_length_b 4.559
_cell_length_c 4.485
_cell_angle_alpha 90.00
_cell_angle_beta 90.00
_cell_angle_gamma 90.00
loop_
_symmetry_equiv_pos_as_xyz
'x,y,z'
loop_
_atom_site_label
_atom_site_type_symbol
_atom_site_fract_x
_atom_site_fract_y
_atom_site_fract_z
Ge1 Ge 0.000 0.000 0.000
P1 P 0.500 0.500 0.000
P2 P 0.500 0.500 0.500
S1 S 0.000 0.500 0.500
S2 S 0.500 0.000 0.500
```

Output
SG   No. 123
Total magnetic moment   0.00 μB per cell


Most favorable structure: entry y. The second most favorable one is 453 meV per atom above it.


Entry w
A relaxed structure of TcGeP2S, computed with PBE-GGA.

Structure (CIF):
```
data_TcGeP2S
_chemical_formula_sum 'Tc1 Ge1 P2 S1'
_symmetry_space_group_name_H-M 'P 1'
_symmetry_Int_Tables_number 1
_cell_length_a 4.646
_cell_length_b 4.646
_cell_length_c 4.615
_cell_angle_alpha 90.00
_cell_angle_beta 90.00
_cell_angle_gamma 90.00
loop_
_symmetry_equiv_pos_as_xyz
'x,y,z'
loop_
_atom_site_label
_atom_site_type_symbol
_atom_site_fract_x
_atom_site_fract_y
_atom_site_fract_z
Tc1 Tc 0.000 0.000 0.000
Ge1 Ge 0.500 0.500 0.500
P1 P 0.000 0.500 0.500
P2 P 0.500 0.000 0.500
S1 S 0.500 0.500 0.000
```

Output
SG   No. 123
Total magnetic moment   2.68 μB per cell


Entry x
A relaxed structure of TcGeP2S, computed with PBE-GGA.

Structure (CIF):
```
data_TcGeP2S
_chemical_formula_sum 'Tc1 Ge1 P2 S1'
_symmetry_space_group_name_H-M 'P 1'
_symmetry_Int_Tables_number 1
_cell_length_a 4.459
_cell_length_b 4.459
_cell_length_c 5.265
_cell_angle_alpha 90.00
_cell_angle_beta 90.00
_cell_angle_gamma 90.00
loop_
_symmetry_equiv_pos_as_xyz
'x,y,z'
loop_
_atom_site_label
_atom_site_type_symbol
_atom_site_fract_x
_atom_site_fract_y
_atom_site_fract_z
Tc1 Tc 0.000 0.000 0.000
Ge1 Ge 0.500 0.500 0.500
P1 P 0.000 0.500 0.000
P2 P 0.500 0.000 0.000
S1 S 0.000 0.000 0.500
```

Output
SG   No. 123
Total magnetic moment   0.00 μB per cell


Most favorable structure: entry x. The second most favorable one is 719 meV per atom above it.


Entry w
A relaxed structure of TiGePS2, computed with PBE-GGA.

Structure (CIF):
```
data_TiGePS2
_chemical_formula_sum 'Ti1 Ge1 P1 S2'
_symmetry_space_group_name_H-M 'P 1'
_symmetry_Int_Tables_number 1
_cell_length_a 4.616
_cell_length_b 4.616
_cell_length_c 4.647
_cell_angle_alpha 90.00
_cell_angle_beta 90.00
_cell_angle_gamma 90.00
loop_
_symmetry_equiv_pos_as_xyz
'x,y,z'
loop_
_atom_site_label
_atom_site_type_symbol
_atom_site_fract_x
_atom_site_fract_y
_atom_site_fract_z
Ti1 Ti 0.000 0.000 0.000
Ge1 Ge 0.500 0.500 0.500
P1 P 0.500 0.500 0.000
S1 S 0.000 0.500 0.500
S2 S 0.500 0.000 0.500
```

Output
SG   No. 123
Total magnetic moment   0.05 μB per cell


Entry x
A relaxed structure of TiGePS2, computed with PBE-GGA.

Structure (CIF):
```
data_TiGePS2
_chemical_formula_sum 'Ti1 Ge1 P1 S2'
_symmetry_space_group_name_H-M 'P 1'
_symmetry_Int_Tables_number 1
_cell_length_a 4.660
_cell_length_b 4.660
_cell_length_c 4.822
_cell_angle_alpha 90.00
_cell_angle_beta 90.00
_cell_angle_gamma 90.00
loop_
_symmetry_equiv_pos_as_xyz
'x,y,z'
loop_
_atom_site_label
_atom_site_type_symbol
_atom_site_fract_x
_atom_site_fract_y
_atom_site_fract_z
Ti1 Ti 0.000 0.000 0.000
Ge1 Ge 0.500 0.500 0.500
P1 P 0.000 0.000 0.500
S1 S 0.000 0.500 0.000
S2 S 0.500 0.000 0.000
```

Output
SG   No. 123
Total magnetic moment   0.00 μB per cell


Most favorable structure: entry x. The second most favorable one is 570 meV per atom above it.


Entry w
A relaxed structure of GeP2WS, computed with PBE-GGA.

Structure (CIF):
```
data_GeP2WS
_chemical_formula_sum 'Ge1 P2 W1 S1'
_symmetry_space_group_name_H-M 'P 1'
_symmetry_Int_Tables_number 1
_cell_length_a 4.555
_cell_length_b 4.555
_cell_length_c 4.584
_cell_angle_alpha 90.00
_cell_angle_beta 90.00
_cell_angle_gamma 90.00
loop_
_symmetry_equiv_pos_as_xyz
'x,y,z'
loop_
_atom_site_label
_atom_site_type_symbol
_atom_site_fract_x
_atom_site_fract_y
_atom_site_fract_z
Ge1 Ge 0.000 0.000 0.000
P1 P 0.000 0.500 0.000
P2 P 0.500 0.000 0.000
W1 W 0.500 0.500 0.500
S1 S 0.000 0.000 0.500
```

Output
SG   No. 123
Total magnetic moment   2.26 μB per cell


Entry x
A relaxed structure of GeP2WS, computed with PBE-GGA.

Structure (CIF):
```
data_GeP2WS
_chemical_formula_sum 'Ge1 P2 W1 S1'
_symmetry_space_group_name_H-M 'P 1'
_symmetry_Int_Tables_number 1
_cell_length_a 4.790
_cell_length_b 4.790
_cell_length_c 4.581
_cell_angle_alpha 90.00
_cell_angle_beta 90.00
_cell_angle_gamma 90.00
loop_
_symmetry_equiv_pos_as_xyz
'x,y,z'
loop_
_atom_site_label
_atom_site_type_symbol
_atom_site_fract_x
_atom_site_fract_y
_atom_site_fract_z
Ge1 Ge 0.000 0.000 0.000
P1 P 0.000 0.500 0.500
P2 P 0.500 0.000 0.500
W1 W 0.500 0.500 0.500
S1 S 0.500 0.500 0.000
```

Output
SG   No. 123
Total magnetic moment   0.00 μB per cell


Most favorable structure: entry x. The second most favorable one is 865 meV per atom above it.